(1)
A plane-wave DFT calculation with PBE was carried out for a relaxed LaEuMgSi crystal.

Properties
V, Å³ per cell: 107.6
Final energy, eV per atom: -5.825
SG: F-43m
Formation energy from raw total energies, kJ/mol of atoms: -26.0

Cell: 5.338 5.338 5.338 Å, 60.00 60.00 60.00°
Element x y z (fractional)
La  0.000  0.000  0.000
Eu  0.500  0.500  0.500
Mg  0.750  0.750  0.750
Si  0.250  0.250  0.250

(2)
A plane-wave DFT calculation with PBE was carried out for a relaxed LaSmEuMg crystal.

Properties
V, Å³ per cell: 133.3
Final energy, eV per atom: -5.340
SG: F-43m

Cell: 5.734 5.734 5.734 Å, 60.00 60.00 60.00°
Element x y z (fractional)
La  0.000  0.000  0.000
Sm  0.500  0.500  0.500
Eu  0.750  0.750  0.750
Mg  0.250  0.250  0.250

(3)
A plane-wave DFT calculation with PBE was carried out for a relaxed LaEuMgSn crystal.

Properties
V, Å³ per cell: 121.4
Final energy, eV per atom: -5.653
SG: F-43m

Cell: 5.558 5.558 5.558 Å, 60.00 60.00 60.00°
Element x y z (fractional)
La  0.000  0.000  0.000
Eu  0.500  0.500  0.500
Mg  0.250  0.250  0.250
Sn  0.750  0.750  0.750

(4)
A plane-wave DFT calculation with PBE was carried out for a relaxed LaTbEuMg crystal.

Properties
V, Å³ per cell: 131.2
Final energy, eV per atom: -5.304
SG: F-43m

Cell: 5.704 5.704 5.704 Å, 60.00 60.00 60.00°
Element x y z (fractional)
La  0.000  0.000  0.000
Tb  0.500  0.500  0.500
Eu  0.750  0.750  0.750
Mg  0.250  0.250  0.250

(5)
A plane-wave DFT calculation with PBE was carried out for a relaxed LaEuThMg crystal.

Properties
V, Å³ per cell: 132.8
Final energy, eV per atom: -5.843
SG: F-43m

Cell: 5.727 5.727 5.727 Å, 60.00 60.00 60.00°
Element x y z (fractional)
La  0.000  0.000  0.000
Eu  0.500  0.500  0.500
Th  0.250  0.250  0.250
Mg  0.750  0.750  0.750

(6)
A plane-wave DFT calculation with PBE was carried out for a relaxed LaEuTmMg crystal.

Properties
V, Å³ per cell: 130.9
Final energy, eV per atom: -5.269
SG: F-43m

Cell: 5.699 5.699 5.699 Å, 60.00 60.00 60.00°
Element x y z (fractional)
La  0.000  0.000  0.000
Eu  0.500  0.500  0.500
Tm  0.750  0.750  0.750
Mg  0.250  0.250  0.250